A relaxed CaSi crystal, computed with PBE.

Computed properties:
The space group is P6_3/mmc (194). The value obtained for the total DFT energy (no corrections) is -29.30 eV for the cell shown. For the uncorrected formation energy, the calculation gives 49 meV per atom. The crystal system is hexagonal.

```
8
Lattice="5.3605 0.0000 0.0000 -2.6803 4.6424 0.0000 0.0000 0.0000 7.9747" Properties=species:S:1:pos:R:3 pbc="T T T"
Ca 0.0000 0.0000 1.9937
Ca 0.0000 0.0000 5.9810
Ca 0.0000 3.0949 1.9937
Ca 2.6803 1.5475 5.9810
Si 0.0000 3.0949 4.8440
Si 0.0000 3.0949 7.1181
Si 2.6803 1.5475 0.8566
Si 2.6803 1.5475 3.1307
```